VASP calculation (GGA-PBE) on a relaxed structure of Mg2Cd.

Properties
space group: Cmcm (63)
energy relative to the elements: -75 meV/atom
V: 130.3 Å³ per cell
density of states at the Fermi level: 0.3398 states/eV/atom
electronic total energy: -8.66 eV for the cell shown

CIF file:
```
data_Mg2Cd
_chemical_formula_sum 'Mg4 Cd2'
_symmetry_space_group_name_H-M 'P 1'
_symmetry_Int_Tables_number 1
_cell_length_a 5.370
_cell_length_b 5.370
_cell_length_c 5.193
_cell_angle_alpha 90.00
_cell_angle_beta 90.00
_cell_angle_gamma 60.51
loop_
_symmetry_equiv_pos_as_xyz
'x,y,z'
loop_
_atom_site_label
_atom_site_type_symbol
_atom_site_fract_x
_atom_site_fract_y
_atom_site_fract_z
Mg1 Mg 0.011 0.659 0.750
Mg2 Mg 0.341 0.989 0.750
Mg3 Mg 0.659 0.011 0.250
Mg4 Mg 0.989 0.341 0.250
Cd1 Cd 0.323 0.677 0.250
Cd2 Cd 0.677 0.323 0.750
```